Here is crystalline PaCrI at its relaxed geometry from Alexandria via LeMat-Bulk. Energies are from PBE-GGA.

The structure in CIF format:
```
data_PaCrI
_cell_length_a 8.7325
_cell_length_b 3.9244
_cell_length_c 10.2750
_cell_angle_alpha 90.00
_cell_angle_beta 95.49
_cell_angle_gamma 90.00
_symmetry_space_group_name_H-M 'C 1 2/m 1'
_symmetry_Int_Tables_number 12
_symmetry_space_group_name_Hall '-C 2y'
loop_
_atom_site_label
_atom_site_type_symbol
_atom_site_fract_x
_atom_site_fract_y
_atom_site_fract_z
_atom_site_occupancy
Pa1 Pa 0.1813 0.0000 0.3686 1
Cr1 Cr 0.0608 0.5000 0.3995 1
I1 I 0.1272 0.0000 0.8290 1
```

Values from the calculation:
Magnetic moment: 0.000 μB/atom
Density of states at the Fermi level: 0.705 states/eV/atom
Raw total energy: -0.2455 Ha/atom